Record 1
! Na2ZnCu3Sb4 PBE optimized geometry; values from VASP
! Total moment (Bohr magnetons per cell): 0.00
! Symmetry: P-4m2 (115)
! Total energy (eV/atom): -3.4013
! Energy relative to the elements, uncorrected (eV/atom): -0.13
&SYSTEM
  ibrav = 0, nat = 10, ntyp = 4
/
ATOMIC_SPECIES
Na 22.99 Na.upf
Zn 65.41 Zn.upf
Cu 63.55 Cu.upf
Sb 121.76 Sb.upf
ATOMIC_POSITIONS crystal
Na 0.500 0.000 0.259
Na 0.000 0.500 0.741
Zn 0.500 0.500 0.500
Cu 0.000 0.000 0.500
Cu 0.500 0.000 0.861
Cu 0.000 0.500 0.139
Sb 0.500 0.500 0.000
Sb 0.000 0.000 0.000
Sb 0.500 0.000 0.638
Sb 0.000 0.500 0.362
CELL_PARAMETERS angstrom
-3.569 -2.130 -1.520
2.546 -3.422 -1.182
-1.572 -4.742 10.338

Record 2
! Ca2Tc2N PBE optimized geometry; values from VASP
! Total moment (Bohr magnetons per cell): 1.78
! Symmetry: P4/mbm (127)
! Energy above the lowest structure with this stoichiometry (meV/atom): 663
! Total energy (eV/atom): -5.6800
! Energy relative to the elements, uncorrected (eV/atom): 0.93
&SYSTEM
  ibrav = 0, nat = 10, ntyp = 3
/
ATOMIC_SPECIES
Ca 40.08 Ca.upf
Tc 98.00 Tc.upf
N 14.01 N.upf
ATOMIC_POSITIONS crystal
Ca 0.322 0.822 0.000
Ca 0.822 0.678 0.000
Ca 0.678 0.178 0.000
Ca 0.178 0.322 0.000
Tc 0.122 0.622 0.500
Tc 0.622 0.878 0.500
Tc 0.878 0.378 0.500
Tc 0.378 0.122 0.500
N 0.000 0.000 0.000
N 0.500 0.500 0.000
CELL_PARAMETERS angstrom
6.275 0.000 0.000
0.000 6.275 0.000
0.000 0.000 5.288

Record 3
! Tb2PmPrHo4 PBE optimized geometry; values from VASP
! Energy of formation from the pure elements (meV per atom): 424
! Total moment (Bohr magnetons per cell): 5.90
! Symmetry: Imma (74)
! Total energy (eV/atom): -4.2134
&SYSTEM
  ibrav = 0, nat = 16, ntyp = 4
/
ATOMIC_SPECIES
Tb 158.93 Tb.upf
Pm 145.00 Pm.upf
Pr 140.91 Pr.upf
Ho 164.93 Ho.upf
ATOMIC_POSITIONS crystal
Tb 0.500 0.000 0.000
Tb 0.500 0.000 0.500
Tb 0.000 0.000 0.500
Tb 0.500 0.500 0.000
Pm 0.000 0.500 0.000
Pm 0.000 0.500 0.500
Pr 0.500 0.500 0.500
Pr 0.000 0.000 0.000
Ho 0.254 0.748 0.001
Ho 0.752 0.246 0.499
Ho 0.248 0.754 0.501
Ho 0.746 0.252 0.999
Ho 0.748 0.750 0.003
Ho 0.750 0.752 0.497
Ho 0.250 0.248 0.503
Ho 0.252 0.250 0.997
CELL_PARAMETERS angstrom
9.358 -0.026 -1.734
-0.032 9.358 -1.734
-5.934 -5.938 8.311

Record 4
! Ba2Zn2Ag PBE optimized geometry; values from VASP
! Energy of formation from the pure elements (meV per atom): -180
! Total moment (Bohr magnetons per cell): 0.00
! Symmetry: Amm2 (38)
! Energy above the lowest structure with this stoichiometry (meV/atom): 29
! Total energy (eV/atom): -2.0294
&SYSTEM
  ibrav = 0, nat = 5, ntyp = 3
/
ATOMIC_SPECIES
Ba 137.33 Ba.upf
Zn 65.41 Zn.upf
Ag 107.87 Ag.upf
ATOMIC_POSITIONS crystal
Ba 0.000 0.689 0.379
Ba 0.000 0.928 0.855
Zn 0.500 0.307 0.614
Zn 0.500 0.514 0.028
Ag 0.500 0.104 0.209
CELL_PARAMETERS angstrom
-1.009 -0.790 -4.161
4.378 -0.558 -0.956
-2.835 -7.621 2.134

Record 5
! Rb2BeF4 PBE optimized geometry; values from VASP
! Total moment (Bohr magnetons per cell): 0.01
! Symmetry: I4/mmm (139)
! Energy above the lowest structure with this stoichiometry (meV/atom): 273
! Total energy (eV/atom): -4.6780
! Energy relative to the elements, uncorrected (eV/atom): -2.80
&SYSTEM
  ibrav = 0, nat = 7, ntyp = 3
/
ATOMIC_SPECIES
Be 9.01 Be.upf
Rb 85.47 Rb.upf
F 19.00 F.upf
ATOMIC_POSITIONS crystal
Be 0.000 0.000 0.000
Rb 0.356 0.356 0.287
Rb 0.644 0.644 0.713
F 0.124 0.124 0.752
F 0.876 0.876 0.248
F 0.000 0.500 0.000
F 0.500 0.000 0.000
CELL_PARAMETERS angstrom
-2.420 3.189 0.959
-3.195 -2.558 0.445
-1.333 -0.440 6.935

Record 6
! SiAu PBE optimized geometry; values from VASP
! Total moment (Bohr magnetons per cell): 0.00
! Symmetry: F-43m (216)
! Total energy (eV/atom): -4.1060
! Energy relative to the elements, uncorrected (eV/atom): 0.24
&SYSTEM
  ibrav = 0, nat = 8, ntyp = 2
/
ATOMIC_SPECIES
Si 28.09 Si.upf
Au 196.97 Au.upf
ATOMIC_POSITIONS crystal
Si 0.250 0.250 0.250
Si 0.250 0.750 0.750
Si 0.750 0.250 0.750
Si 0.750 0.750 0.250
Au 0.000 0.000 0.000
Au 0.000 0.500 0.500
Au 0.500 0.000 0.500
Au 0.500 0.500 0.000
CELL_PARAMETERS angstrom
5.633 0.000 0.000
0.000 5.633 0.000
0.000 0.000 5.633

Record 7
! Cd3SnAu6 PBE optimized geometry; values from VASP
! Energy of formation from the pure elements (meV per atom): -112
! Total moment (Bohr magnetons per cell): 0.00
! Symmetry: Cmc2_1 (36)
! Total energy (eV/atom): -2.7535
&SYSTEM
  ibrav = 0, nat = 20, ntyp = 3
/
ATOMIC_SPECIES
Cd 112.41 Cd.upf
Sn 118.71 Sn.upf
Au 196.97 Au.upf
ATOMIC_POSITIONS crystal
Cd 0.046 0.567 0.293
Cd 0.293 0.067 0.046
Cd 0.515 0.620 0.485
Cd 0.485 0.120 0.515
Cd 0.954 0.067 0.707
Cd 0.707 0.567 0.954
Sn 0.750 0.915 0.250
Sn 0.250 0.415 0.750
Au 0.185 0.895 0.376
Au 0.376 0.395 0.185
Au 0.417 0.738 0.118
Au 0.118 0.238 0.417
Au 0.000 0.817 0.000
Au 0.736 0.263 0.264
Au 0.264 0.763 0.736
Au 0.000 0.317 0.000
Au 0.882 0.738 0.583
Au 0.583 0.238 0.882
Au 0.624 0.895 0.815
Au 0.815 0.395 0.624
CELL_PARAMETERS angstrom
7.210 0.000 -0.535
0.000 8.030 0.000
-0.101 0.000 7.229

Record 8
! HfTc3I PBE optimized geometry; values from VASP
! Total moment (Bohr magnetons per cell): 0.00
! Symmetry: Pm-3m (221)
! Energy above the lowest structure with this stoichiometry (meV/atom): 0
! Total energy (eV/atom): -6.8939
! Energy relative to the elements, uncorrected (eV/atom): 1.63
&SYSTEM
  ibrav = 0, nat = 5, ntyp = 3
/
ATOMIC_SPECIES
I 126.90 I.upf
Hf 178.49 Hf.upf
Tc 98.00 Tc.upf
ATOMIC_POSITIONS crystal
I 0.000 0.000 0.000
Hf 0.500 0.500 0.500
Tc 0.000 0.500 0.000
Tc 0.000 0.000 0.500
Tc 0.500 0.000 0.000
CELL_PARAMETERS angstrom
4.740 0.000 0.000
0.000 4.740 0.000
0.000 0.000 4.740

Record 9
! AlV2Cr PBE optimized geometry; values from VASP
! Energy of formation from the pure elements (meV per atom): 74
! Total moment (Bohr magnetons per cell): 0.00
! Symmetry: Cmcm (63)
! Total energy (eV/atom): -7.8267
&SYSTEM
  ibrav = 0, nat = 8, ntyp = 3
/
ATOMIC_SPECIES
Al 26.98 Al.upf
V 50.94 V.upf
Cr 52.00 Cr.upf
ATOMIC_POSITIONS crystal
Al 0.999 0.998 0.250
Al 0.001 0.002 0.750
V 0.334 0.668 0.577
V 0.666 0.332 0.423
V 0.666 0.332 0.077
V 0.334 0.668 0.923
Cr 0.332 0.664 0.250
Cr 0.668 0.336 0.750
CELL_PARAMETERS angstrom
4.374 0.000 0.000
-2.187 3.796 0.000
0.000 0.000 6.813

Record 10
! LiErTlAu PBE optimized geometry; values from VASP
! Energy of formation from the pure elements (meV per atom): -487
! Total moment (Bohr magnetons per cell): 0.00
! Symmetry: F-43m (216)
! Total energy (eV/atom): -3.5172
&SYSTEM
  ibrav = 0, nat = 4, ntyp = 4
/
ATOMIC_SPECIES
Tl 204.38 Tl.upf
Li 6.94 Li.upf
Au 196.97 Au.upf
Er 167.26 Er.upf
ATOMIC_POSITIONS crystal
Tl 0.500 0.500 0.500
Li 0.250 0.250 0.250
Au 0.000 0.000 0.000
Er 0.750 0.750 0.750
CELL_PARAMETERS angstrom
-1.704 3.904 2.532
-4.458 -0.199 2.155
-0.358 -0.213 4.938

Record 11
! Zn2CoRe PBE optimized geometry; values from VASP
! Energy of formation from the pure elements (meV per atom): 126
! Total moment (Bohr magnetons per cell): 0.00
! Symmetry: Pmm2 (25)
! Energy above the lowest structure with this stoichiometry (meV/atom): 109
! Total energy (eV/atom): -5.3992
&SYSTEM
  ibrav = 0, nat = 4, ntyp = 3
/
ATOMIC_SPECIES
Co 58.93 Co.upf
Re 186.21 Re.upf
Zn 65.41 Zn.upf
ATOMIC_POSITIONS crystal
Co 0.000 0.000 0.518
Re 0.500 0.500 0.726
Zn 0.000 0.000 0.007
Zn 0.500 0.500 0.249
CELL_PARAMETERS angstrom
2.673 0.000 0.000
0.000 3.641 0.000
0.000 0.000 5.485

Record 12
! PmY6Ho PBE optimized geometry; values from VASP
! Energy of formation from the pure elements (meV per atom): 203
! Total moment (Bohr magnetons per cell): 0.00
! Symmetry: P-1 (2)
! Energy above the lowest structure with this stoichiometry (meV/atom): 50
! Total energy (eV/atom): -5.8110
&SYSTEM
  ibrav = 0, nat = 8, ntyp = 3
/
ATOMIC_SPECIES
Pm 145.00 Pm.upf
Y 88.91 Y.upf
Ho 164.93 Ho.upf
ATOMIC_POSITIONS crystal
Pm 0.000 0.000 0.000
Y 0.094 0.730 0.477
Y 0.576 0.767 0.516
Y 0.424 0.233 0.484
Y 0.906 0.270 0.523
Y 0.548 0.748 0.998
Y 0.452 0.252 0.002
Ho 0.000 0.500 0.000
CELL_PARAMETERS angstrom
-2.429 -5.495 3.182
4.175 -3.812 -3.352
1.830 -1.134 6.619

Record 13
! ZrSb2Au PBE optimized geometry; values from VASP
! Total moment (Bohr magnetons per cell): 0.00
! Symmetry: Cmmm (65)
! Total energy (eV/atom): -5.1011
! Energy relative to the elements, uncorrected (eV/atom): -0.08
&SYSTEM
  ibrav = 0, nat = 4, ntyp = 3
/
ATOMIC_SPECIES
Au 196.97 Au.upf
Sb 121.76 Sb.upf
Zr 91.22 Zr.upf
ATOMIC_POSITIONS crystal
Au 0.500 0.500 0.750
Sb 0.000 0.000 0.003
Sb 0.000 0.000 0.497
Zr 0.500 0.500 0.250
CELL_PARAMETERS angstrom
-2.897 1.568 -0.504
-0.807 -3.216 -0.336
-1.720 -0.454 8.482